No. 1
# LaDy3HoTm

An optimized crystal structure of LaDy3HoTm (PBE-GGA, Alexandria).

```
data_LaDy3HoTm
_chemical_formula_sum 'La4 Dy12 Ho4 Tm4'
_cell_length_a 19.927
_cell_length_b 5.611
_cell_length_c 7.067
_cell_angle_alpha 90.00
_cell_angle_beta 90.15
_cell_angle_gamma 90.00
_space_group_name_H-M_alt 'C 1 2/m 1'
_space_group_IT_number 12
_space_group_name_Hall '-C 2y'
loop_
_atom_site_label
_atom_site_type_symbol
_atom_site_fract_x
_atom_site_fract_y
_atom_site_fract_z
La1 La 0.141 0.000 0.476
Dy1 Dy 0.023 0.000 0.775
Dy2 Dy 0.164 0.500 0.781
Dy3 Dy 0.221 0.500 0.265
Ho1 Ho 0.152 0.000 0.046
Tm1 Tm 0.057 0.500 0.205
```

N(E_F) (states/eV/cell): 35.64



No. 2
# LaDy2HoTm5

An optimized crystal structure of LaDy2HoTm5 (PBE-GGA, Alexandria).

```
data_LaDy2HoTm5
_chemical_formula_sum 'La4 Dy8 Ho4 Tm20'
_cell_length_a 8.877
_cell_length_b 8.877
_cell_length_c 14.638
_cell_angle_alpha 90.00
_cell_angle_beta 90.00
_cell_angle_gamma 90.00
_space_group_name_H-M_alt 'I 4/m c m'
_space_group_IT_number 140
_space_group_name_Hall '-I 4 2c'
loop_
_atom_site_label
_atom_site_type_symbol
_atom_site_fract_x
_atom_site_fract_y
_atom_site_fract_z
La1 La 0.000 0.000 0.250
Dy1 Dy 0.113 0.387 0.000
Ho1 Ho 0.000 0.500 0.250
Tm1 Tm 0.000 0.000 0.000
Tm2 Tm 0.205 0.295 0.369
```

N(E_F) (states/eV/cell): 44.36



No. 3
# La2Dy3HoTm6

An optimized crystal structure of La2Dy3HoTm6 (PBE-GGA, Alexandria).

```
data_La2Dy3HoTm6
_chemical_formula_sum 'La4 Dy6 Ho2 Tm12'
_cell_length_a 6.155
_cell_length_b 10.654
_cell_length_c 11.704
_cell_angle_alpha 90.00
_cell_angle_beta 100.06
_cell_angle_gamma 90.00
_space_group_name_H-M_alt 'C 1 2/m 1'
_space_group_IT_number 12
_space_group_name_Hall '-C 2y'
loop_
_atom_site_label
_atom_site_type_symbol
_atom_site_fract_x
_atom_site_fract_y
_atom_site_fract_z
La1 La 0.000 0.166 0.000
Dy1 Dy 0.000 0.000 0.500
Dy2 Dy 0.000 0.333 0.500
Ho1 Ho 0.000 0.500 0.000
Tm1 Tm 0.247 0.500 0.746
Tm2 Tm 0.249 0.166 0.746
```

N(E_F) (states/eV/cell): 31.28



No. 4
# LaDy6Ho2Tm3

An optimized crystal structure of LaDy6Ho2Tm3 (PBE-GGA, Alexandria).

```
data_LaDy6Ho2Tm3
_chemical_formula_sum 'La2 Dy12 Ho4 Tm6'
_cell_length_a 6.139
_cell_length_b 10.626
_cell_length_c 11.752
_cell_angle_alpha 90.00
_cell_angle_beta 100.00
_cell_angle_gamma 90.00
_space_group_name_H-M_alt 'C 1 2/m 1'
_space_group_IT_number 12
_space_group_name_Hall '-C 2y'
loop_
_atom_site_label
_atom_site_type_symbol
_atom_site_fract_x
_atom_site_fract_y
_atom_site_fract_z
La1 La 0.000 0.000 0.000
Dy1 Dy 0.247 0.333 0.746
Dy2 Dy 0.249 0.000 0.746
Ho1 Ho 0.000 0.333 0.000
Tm1 Tm 0.000 0.167 0.500
Tm2 Tm 0.000 0.500 0.500
```

N(E_F) (states/eV/cell): 32.06



The following total DFT energy (no corrections) values (in eV/cell) correspond, in order, to the records above: -105.8, -154.0, -109.5, -109.6.
The following formation energy from the elements values (in eV per formula unit) correspond, in order, to the records above: 1.33, 2.56, 0.30, 0.29.
The following calculated volume values (in Å³/cell) correspond, in order, to the records above: 790.2, 1153.5, 755.7, 754.9.